Entry 1:
Compound: GdHfBi2
Source: Alexandria via LeMat-Bulk
Functional: GGA-PBE
Structure: relaxed

Lattice parameters (Å, degrees): 3.6794 3.6794 7.9279 90.00 90.00 90.00
Space group P4/mmm (No. 123)
Asymmetric unit:
Gd 0.0000 0.0000 0.0000 [1 per cell]
Hf 0.0000 0.0000 0.5000 [1 per cell]
Bi 0.5000 0.5000 0.2727 [2 per cell]

Properties
Total DFT energy (no corrections): -8.2604 eV per atom
Relative energy among the computed polymorphs: 0 meV per atom



Entry 2:
Compound: LiErNp2S5
Source: Alexandria via LeMat-Bulk
Functional: GGA-PBE
Structure: relaxed

Lattice parameters (Å, degrees): 4.9297 4.9297 9.5320 90.00 90.00 90.00
Space group P4/mmm (No. 123)
Asymmetric unit:
Li 0.0000 0.0000 0.0000 [1 per cell]
Er 0.0000 0.0000 0.5000 [1 per cell]
Np 0.5000 0.5000 0.2810 [2 per cell]
S 0.0000 0.0000 0.2287 [2 per cell]
S 0.0000 0.5000 0.5000 [2 per cell]
S 0.5000 0.5000 0.0000 [1 per cell]

Properties
Energy relative to the elements, uncorrected: -1.0724 eV per atom
Total DFT energy (no corrections): -6.9608 eV per atom



Entry 3:
Compound: LaAg3Ge2
Source: Alexandria via LeMat-Bulk
Functional: GGA-PBE
Structure: relaxed

Lattice parameters (Å, degrees): 16.3682 4.3761 7.8268 90.00 116.14 90.00
Space group C2/m (No. 12)
Asymmetric unit:
La 0.1465 0.0000 0.0677 [4 per cell]
Ag 0.0473 0.0000 0.3843 [4 per cell]
Ag 0.1042 0.5000 0.7003 [4 per cell]
Ag 0.1868 0.5000 0.4467 [4 per cell]
Ge 0.0179 0.5000 0.1689 [4 per cell]
Ge 0.2021 0.0000 0.7200 [4 per cell]

Properties
Total DFT energy (no corrections): -4.1253 eV per atom



Entry 4:
Compound: Ge2Sb2Br
Source: Alexandria via LeMat-Bulk
Functional: GGA-PBE
Structure: relaxed

Lattice parameters (Å, degrees): 8.4618 8.4618 3.7486 90.00 90.00 90.00
Space group P4/mbm (No. 127)
Asymmetric unit:
Ge 0.1298 0.3702 0.0000 [4 per cell]
Sb 0.1376 0.6376 0.5000 [4 per cell]
Br 0.0000 0.0000 0.5000 [2 per cell]

Properties
Energy relative to the elements, uncorrected: 0.1788 eV per atom
Total DFT energy (no corrections): -3.6516 eV per atom
Relative energy among the computed polymorphs: 96 meV per atom



Q: Among the records above, which one has the lowest total DFT energy (no corrections)?
A: GdHfBi2